No. 1
! Ho6GaN3 (PBE-GGA, optimized geometry); values from VASP
! **Raw total energy**: -5.197 eV/atom
! **Total magnetic moment**: 0.01 Bohr magnetons per cell
&SYSTEM
  ibrav = 0, nat = 10, ntyp = 3
/
ATOMIC_SPECIES
Ho 164.93 Ho.upf
Ga 69.72 Ga.upf
N 14.01 N.upf
CELL_PARAMETERS angstrom
-4.060 4.060 4.356
4.060 -4.060 4.356
4.060 4.060 -4.356
ATOMIC_POSITIONS angstrom
Ho 4.060 1.338 0.000
Ho 0.000 0.000 1.894
Ho 1.338 4.060 0.000
Ho 2.722 0.000 4.356
Ho 0.000 0.000 6.819
Ho 0.000 2.722 4.356
Ga 0.000 0.000 4.356
N 0.000 0.000 0.000
N 4.060 0.000 2.178
N 0.000 4.060 2.178



No. 2
! HoGaNO (PBE-GGA, optimized geometry); values from VASP
! **Raw total energy**: -6.724 eV/atom
! **Total magnetic moment**: 0.00 Bohr magnetons per cell
&SYSTEM
  ibrav = 0, nat = 8, ntyp = 4
/
ATOMIC_SPECIES
Ho 164.93 Ho.upf
Ga 69.72 Ga.upf
N 14.01 N.upf
O 16.00 O.upf
CELL_PARAMETERS angstrom
4.196 0.000 0.000
0.000 5.270 0.000
0.000 0.000 4.925
ATOMIC_POSITIONS angstrom
Ho 0.000 1.198 0.000
Ho 0.000 4.072 2.463
Ga 2.098 1.395 2.533
Ga 2.098 3.875 0.071
N 0.000 1.107 2.397
N 0.000 4.163 4.859
O 2.098 1.926 4.522
O 2.098 3.345 2.059



No. 3
! HoGaNO (PBE-GGA, optimized geometry); values from VASP
! **Raw total energy**: -6.645 eV/atom
! **Total magnetic moment**: 0.00 Bohr magnetons per cell
&SYSTEM
  ibrav = 0, nat = 8, ntyp = 4
/
ATOMIC_SPECIES
Ho 164.93 Ho.upf
Ga 69.72 Ga.upf
N 14.01 N.upf
O 16.00 O.upf
CELL_PARAMETERS angstrom
4.847 0.000 0.000
0.000 4.847 0.000
0.000 0.000 4.524
ATOMIC_POSITIONS angstrom
Ho 1.212 3.635 0.000
Ho 3.635 1.212 0.000
Ga 1.212 1.212 2.229
Ga 3.635 3.635 2.295
N 1.212 1.212 0.141
N 3.635 3.635 4.382
O 1.212 3.635 2.262
O 3.635 1.212 2.262



Copy entry 1 word for word.
! Ho6GaN3 (PBE-GGA, optimized geometry); values from VASP
! **Raw total energy**: -5.197 eV/atom
! **Total magnetic moment**: 0.01 Bohr magnetons per cell
&SYSTEM
  ibrav = 0, nat = 10, ntyp = 3
/
ATOMIC_SPECIES
Ho 164.93 Ho.upf
Ga 69.72 Ga.upf
N 14.01 N.upf
CELL_PARAMETERS angstrom
-4.060 4.060 4.356
4.060 -4.060 4.356
4.060 4.060 -4.356
ATOMIC_POSITIONS angstrom
Ho 4.060 1.338 0.000
Ho 0.000 0.000 1.894
Ho 1.338 4.060 0.000
Ho 2.722 0.000 4.356
Ho 0.000 0.000 6.819
Ho 0.000 2.722 4.356
Ga 0.000 0.000 4.356
N 0.000 0.000 0.000
N 4.060 0.000 2.178
N 0.000 4.060 2.178